No. 1
Below is a relaxed CaAgTe2N crystal, with properties calculated at the GGA-PBE level.

V: 29.5 A^3/atom
Formation energy without anion corrections: 0.83 eV per atom
M_tot: 0.00 μB/f.u.
SG: P4/mmm

a = 5.9710 Å, b = 5.9710 Å, c = 4.1347 Å
α = 90.00°, β = 90.00°, γ = 90.00°
Fractional coordinates of all 5 atoms:
Ca 0.0000 0.0000 0.0000
Ag 0.5000 0.5000 0.5000
Te 0.0000 0.5000 0.0000
Te 0.5000 0.0000 0.0000
N 0.0000 0.0000 0.5000

No. 2
Below is a relaxed CaAg2TeN crystal, with properties calculated at the GGA-PBE level.

V: 25.2 A^3/atom
Formation energy without anion corrections: 0.95 eV per atom
M_tot: 0.00 μB/f.u.
SG: P4/mmm

a = 5.6979 Å, b = 5.6979 Å, c = 3.8866 Å
α = 90.00°, β = 90.00°, γ = 90.00°
Fractional coordinates of all 5 atoms:
Ca 0.0000 0.0000 0.0000
Ag 0.0000 0.5000 0.0000
Ag 0.5000 0.0000 0.0000
Te 0.5000 0.5000 0.5000
N 0.0000 0.0000 0.5000

No. 3
Below is a relaxed CaAgTe2N crystal, with properties calculated at the GGA-PBE level.

V: 26.3 A^3/atom
Formation energy without anion corrections: 0.32 eV per atom
M_tot: 1.75 μB/f.u.
SG: P4/mmm

a = 5.6999 Å, b = 5.6999 Å, c = 4.0499 Å
α = 90.00°, β = 90.00°, γ = 90.00°
Fractional coordinates of all 5 atoms:
Ca 0.0000 0.0000 0.0000
Ag 0.5000 0.5000 0.5000
Te 0.0000 0.5000 0.5000
Te 0.5000 0.0000 0.5000
N 0.5000 0.5000 0.0000

No. 4
Below is a relaxed Ca2TlAgN crystal, with properties calculated at the GGA-PBE level.

V: 21.8 A^3/atom
Formation energy without anion corrections: -0.32 eV per atom
M_tot: 0.00 μB/f.u.
SG: P4/mmm

a = 4.8770 Å, b = 4.8770 Å, c = 4.5897 Å
α = 90.00°, β = 90.00°, γ = 90.00°
Fractional coordinates of all 5 atoms:
Ca 0.0000 0.5000 0.0000
Ca 0.5000 0.0000 0.0000
Tl 0.0000 0.0000 0.5000
Ag 0.5000 0.5000 0.5000
N 0.5000 0.5000 0.0000

No. 5
Below is a relaxed CaY2AgN crystal, with properties calculated at the GGA-PBE level.

V: 22.7 A^3/atom
Formation energy without anion corrections: -0.68 eV per atom
M_tot: 0.00 μB/f.u.
SG: P4/mmm

a = 4.7498 Å, b = 4.7498 Å, c = 5.0336 Å
α = 90.00°, β = 90.00°, γ = 90.00°
Fractional coordinates of all 5 atoms:
Ca 0.0000 0.0000 0.0000
Y 0.0000 0.5000 0.5000
Y 0.5000 0.0000 0.5000
Ag 0.5000 0.5000 0.0000
N 0.0000 0.0000 0.5000

No. 6
Below is a relaxed Ca2YAgN crystal, with properties calculated at the GGA-PBE level.

V: 23.1 A^3/atom
Formation energy without anion corrections: -0.62 eV per atom
M_tot: 0.01 μB/f.u.
SG: P4/mmm

a = 4.9472 Å, b = 4.9472 Å, c = 4.7161 Å
α = 90.00°, β = 90.00°, γ = 90.00°
Fractional coordinates of all 5 atoms:
Ca 0.0000 0.5000 0.0000
Ca 0.5000 0.0000 0.0000
Y 0.0000 0.0000 0.5000
Ag 0.5000 0.5000 0.5000
N 0.0000 0.0000 0.0000

No. 7
Below is a relaxed Na2CaAg crystal, with properties calculated at the GGA-PBE level.

V: 28.0 A^3/atom
M_tot: 0.00 μB/f.u.
SG: Fm-3m
Energy relative to the elements: 0.33 eV per formula unit

a = 7.6559 Å, b = 7.6559 Å, c = 7.6559 Å
α = 90.00°, β = 90.00°, γ = 90.00°
Fractional coordinates of all 16 atoms:
Na 0.2500 0.2500 0.2500
Na 0.2500 0.2500 0.7500
Na 0.2500 0.7500 0.2500
Na 0.2500 0.7500 0.7500
Na 0.7500 0.2500 0.2500
Na 0.7500 0.2500 0.7500
Na 0.7500 0.7500 0.2500
Na 0.7500 0.7500 0.7500
Ca 0.0000 0.0000 0.0000
Ca 0.0000 0.5000 0.5000
Ca 0.5000 0.0000 0.5000
Ca 0.5000 0.5000 0.0000
Ag 0.0000 0.0000 0.5000
Ag 0.0000 0.5000 0.0000
Ag 0.5000 0.0000 0.0000
Ag 0.5000 0.5000 0.5000

No. 8
Below is a relaxed NaCa2Ag crystal, with properties calculated at the GGA-PBE level.

V: 30.2 A^3/atom
M_tot: 0.00 μB/f.u.
SG: P4/mmm
Energy relative to the elements: -0.28 eV per formula unit

a = 5.4350 Å, b = 5.4350 Å, c = 4.0913 Å
α = 90.00°, β = 90.00°, γ = 90.00°
Fractional coordinates of all 4 atoms:
Na 0.0000 0.0000 0.0000
Ca 0.0000 0.5000 0.5000
Ca 0.5000 0.0000 0.5000
Ag 0.5000 0.5000 0.0000

No. 9
Below is a relaxed Na2CaAg9 crystal, with properties calculated at the GGA-PBE level.

V: 21.4 A^3/atom
M_tot: 0.00 μB/f.u.
SG: R-3m
Energy relative to the elements: -1.32 eV per formula unit

a = 9.9883 Å, b = 9.9883 Å, c = 9.9883 Å
α = 32.61°, β = 32.61°, γ = 32.61°
Fractional coordinates of all 12 atoms:
Na 0.1452 0.1452 0.1452
Na 0.8548 0.8548 0.8548
Ca 0.0000 0.0000 0.0000
Ag 0.0827 0.5845 0.5845
Ag 0.3327 0.3327 0.3327
Ag 0.4155 0.4155 0.9173
Ag 0.4155 0.9173 0.4155
Ag 0.5000 0.5000 0.5000
Ag 0.5845 0.0827 0.5845
Ag 0.5845 0.5845 0.0827
Ag 0.6673 0.6673 0.6673
Ag 0.9173 0.4155 0.4155

No. 10
Below is a relaxed Na2CaAg crystal, with properties calculated at the GGA-PBE level.

V: 32.7 A^3/atom
M_tot: 0.00 μB/f.u.
SG: R-3m
Energy relative to the elements: 0.73 eV per formula unit

a = 3.5900 Å, b = 3.5900 Å, c = 35.1593 Å
α = 90.00°, β = 90.00°, γ = 120.00°
Fractional coordinates of all 12 atoms:
Na 0.0000 0.0000 0.1013
Na 0.0000 0.0000 0.8987
Na 0.3333 0.6667 0.5654
Na 0.3333 0.6667 0.7680
Na 0.6667 0.3333 0.2320
Na 0.6667 0.3333 0.4346
Ca 0.0000 0.0000 0.0000
Ca 0.3333 0.6667 0.6667
Ca 0.6667 0.3333 0.3333
Ag 0.0000 0.0000 0.5000
Ag 0.3333 0.6667 0.1667
Ag 0.6667 0.3333 0.8333

No. 11
Below is a relaxed Na2Ca2Ag crystal, with properties calculated at the GGA-PBE level.

V: 32.8 A^3/atom
M_tot: 0.00 μB/f.u.
SG: I4/mmm
Energy relative to the elements: 0.30 eV per formula unit

a = 4.0450 Å, b = 4.0450 Å, c = 20.0264 Å
α = 90.00°, β = 90.00°, γ = 90.00°
Fractional coordinates of all 10 atoms:
Na 0.0000 0.5000 0.2500
Na 0.0000 0.5000 0.7500
Na 0.5000 0.0000 0.2500
Na 0.5000 0.0000 0.7500
Ca 0.0000 0.0000 0.0856
Ca 0.0000 0.0000 0.9144
Ca 0.5000 0.5000 0.4144
Ca 0.5000 0.5000 0.5856
Ag 0.0000 0.0000 0.5000
Ag 0.5000 0.5000 0.0000

No. 12
Below is a relaxed NaCa2Ag crystal, with properties calculated at the GGA-PBE level.

V: 36.5 A^3/atom
M_tot: 0.00 μB/f.u.
SG: R3m
Energy relative to the elements: -0.24 eV per formula unit

a = 4.2191 Å, b = 4.2191 Å, c = 28.4240 Å
α = 90.00°, β = 90.00°, γ = 120.00°
Fractional coordinates of all 12 atoms:
Na 0.0000 0.0000 0.0000
Na 0.3333 0.6667 0.6667
Na 0.6667 0.3333 0.3333
Ca 0.0000 0.0000 0.5611
Ca 0.0000 0.0000 0.7704
Ca 0.3333 0.6667 0.2278
Ca 0.3333 0.6667 0.4371
Ca 0.6667 0.3333 0.1037
Ca 0.6667 0.3333 0.8944
Ag 0.0000 0.0000 0.1654
Ag 0.3333 0.6667 0.8321
Ag 0.6667 0.3333 0.4988

No. 13
Below is a relaxed Na2CaAg crystal, with properties calculated at the GGA-PBE level.

V: 30.4 A^3/atom
M_tot: 0.00 μB/f.u.
SG: I-42d
Energy relative to the elements: 0.16 eV per formula unit

a = 4.4755 Å, b = 4.4755 Å, c = 24.3139 Å
α = 90.00°, β = 90.00°, γ = 90.00°
Fractional coordinates of all 16 atoms:
Na 0.2218 0.2500 0.1250
Na 0.2500 0.7218 0.3750
Na 0.2500 0.7782 0.8750
Na 0.2782 0.2500 0.6250
Na 0.7218 0.7500 0.6250
Na 0.7500 0.2218 0.8750
Na 0.7500 0.2782 0.3750
Na 0.7782 0.7500 0.1250
Ca 0.0000 0.0000 0.5000
Ca 0.0000 0.5000 0.7500
Ca 0.5000 0.0000 0.2500
Ca 0.5000 0.5000 0.0000
Ag 0.0000 0.0000 0.0000
Ag 0.0000 0.5000 0.2500
Ag 0.5000 0.0000 0.7500
Ag 0.5000 0.5000 0.5000

No. 14
Below is a relaxed Na3CaAg3 crystal, with properties calculated at the GGA-PBE level.

V: 34.5 A^3/atom
M_tot: 0.00 μB/f.u.
SG: Pm-3n
Energy relative to the elements: 2.53 eV per formula unit

a = 7.8438 Å, b = 7.8438 Å, c = 7.8438 Å
α = 90.00°, β = 90.00°, γ = 90.00°
Fractional coordinates of all 14 atoms:
Na 0.0000 0.2500 0.5000
Na 0.0000 0.7500 0.5000
Na 0.2500 0.5000 0.0000
Na 0.5000 0.0000 0.2500
Na 0.5000 0.0000 0.7500
Na 0.7500 0.5000 0.0000
Ca 0.0000 0.0000 0.0000
Ca 0.5000 0.5000 0.5000
Ag 0.0000 0.5000 0.2500
Ag 0.0000 0.5000 0.7500
Ag 0.2500 0.0000 0.5000
Ag 0.5000 0.2500 0.0000
Ag 0.5000 0.7500 0.0000
Ag 0.7500 0.0000 0.5000

No. 15
Below is a relaxed NaCa3Ag4 crystal, with properties calculated at the GGA-PBE level.

V: 25.2 A^3/atom
M_tot: 0.00 μB/f.u.
SG: R-3m
Energy relative to the elements: -1.89 eV per formula unit

a = 9.0442 Å, b = 9.0442 Å, c = 9.0442 Å
α = 33.56°, β = 33.56°, γ = 33.56°
Fractional coordinates of all 8 atoms:
Na 0.0000 0.0000 0.0000
Ca 0.2533 0.2533 0.2533
Ca 0.5000 0.5000 0.5000
Ca 0.7467 0.7467 0.7467
Ag 0.1269 0.1269 0.1269
Ag 0.3770 0.3770 0.3770
Ag 0.6230 0.6230 0.6230
Ag 0.8731 0.8731 0.8731

No. 16
Below is a relaxed NaCaAg crystal, with properties calculated at the GGA-PBE level.

V: 28.7 A^3/atom
M_tot: 0.00 μB/f.u.
SG: I4mm
Energy relative to the elements: -0.25 eV per formula unit

a = 3.8042 Å, b = 3.8042 Å, c = 11.8866 Å
α = 90.00°, β = 90.00°, γ = 90.00°
Fractional coordinates of all 6 atoms:
Na 0.0000 0.0000 0.0000
Na 0.5000 0.5000 0.5000
Ca 0.0000 0.0000 0.2847
Ca 0.5000 0.5000 0.7847
Ag 0.0000 0.0000 0.6449
Ag 0.5000 0.5000 0.1449

No. 17
Below is a relaxed NaCaAg crystal, with properties calculated at the GGA-PBE level.

V: 29.0 A^3/atom
M_tot: 0.00 μB/f.u.
SG: C2/m
Energy relative to the elements: -0.21 eV per formula unit

a = 8.9429 Å, b = 5.2022 Å, c = 8.0285 Å
α = 90.00°, β = 111.39°, γ = 90.00°
Fractional coordinates of all 12 atoms:
Na 0.1289 0.0000 0.3900
Na 0.3711 0.5000 0.6100
Na 0.6289 0.5000 0.3900
Na 0.8711 0.0000 0.6100
Ca 0.2110 0.5000 0.1333
Ca 0.2890 0.0000 0.8667
Ca 0.7110 0.0000 0.1333
Ca 0.7890 0.5000 0.8667
Ag 0.0682 0.5000 0.7005
Ag 0.4318 0.0000 0.2995
Ag 0.5682 0.0000 0.7005
Ag 0.9318 0.5000 0.2995

No. 18
Below is a relaxed NaCa2Ag crystal, with properties calculated at the GGA-PBE level.

V: 29.9 A^3/atom
M_tot: 0.00 μB/f.u.
SG: Fm-3m
Energy relative to the elements: -0.34 eV per formula unit

a = 7.8205 Å, b = 7.8205 Å, c = 7.8205 Å
α = 90.00°, β = 90.00°, γ = 90.00°
Fractional coordinates of all 16 atoms:
Na 0.0000 0.0000 0.0000
Na 0.0000 0.5000 0.5000
Na 0.5000 0.0000 0.5000
Na 0.5000 0.5000 0.0000
Ca 0.2500 0.2500 0.2500
Ca 0.2500 0.2500 0.7500
Ca 0.2500 0.7500 0.2500
Ca 0.2500 0.7500 0.7500
Ca 0.7500 0.2500 0.2500
Ca 0.7500 0.2500 0.7500
Ca 0.7500 0.7500 0.2500
Ca 0.7500 0.7500 0.7500
Ag 0.0000 0.0000 0.5000
Ag 0.0000 0.5000 0.0000
Ag 0.5000 0.0000 0.0000
Ag 0.5000 0.5000 0.5000

No. 19
Below is a relaxed NaCa2Ag crystal, with properties calculated at the GGA-PBE level.

V: 31.8 A^3/atom
M_tot: 0.00 μB/f.u.
SG: P4/mmm
Energy relative to the elements: -0.57 eV per formula unit

a = 3.8088 Å, b = 3.8088 Å, c = 8.7791 Å
α = 90.00°, β = 90.00°, γ = 90.00°
Fractional coordinates of all 4 atoms:
Na 0.0000 0.0000 0.0000
Ca 0.5000 0.5000 0.3003
Ca 0.5000 0.5000 0.6997
Ag 0.0000 0.0000 0.5000

No. 20
Below is a relaxed Na3CaAg crystal, with properties calculated at the GGA-PBE level.

V: 53.3 A^3/atom
M_tot: 0.00 μB/f.u.
SG: Pm-3m
Energy relative to the elements: 3.88 eV per formula unit

a = 6.4357 Å, b = 6.4357 Å, c = 6.4357 Å
α = 90.00°, β = 90.00°, γ = 90.00°
Fractional coordinates of all 5 atoms:
Na 0.0000 0.0000 0.5000
Na 0.0000 0.5000 0.0000
Na 0.5000 0.0000 0.0000
Ca 0.0000 0.0000 0.0000
Ag 0.5000 0.5000 0.5000